# 1
VASP calculation (PBE) on crystalline NdThScTi at its relaxed geometry.

abc: 5.320 5.320 5.320
angles: 60.00 60.00 60.00
Last column: magnetic moment on the atom in μB.
Element x y z (fractional)
Sc: 0.500 0.500 0.500  -0.16
Nd: 0.750 0.750 0.750  0.01
Th: 0.250 0.250 0.250  0.04
Ti: 0.000 0.000 0.000  0.69

Summary:
Raw total energy (eV/atom): -6.425

# 2
VASP calculation (PBE) on crystalline LaNd8In6 at its relaxed geometry.

abc: 9.328 9.328 8.552
angles: 56.95 56.95 60.00
Element x y z (fractional)
Nd: 0.668 0.668 0.997
Nd: 0.883 0.554 0.347
Nd: 0.554 0.216 0.347
Nd: 0.117 0.446 0.653
Nd: 0.216 0.883 0.347
Nd: 0.446 0.784 0.653
Nd: 0.332 0.332 0.003
Nd: 0.784 0.117 0.653
In: 0.945 0.283 0.164
In: 0.283 0.608 0.164
In: 0.608 0.945 0.164
In: 0.392 0.055 0.836
In: 0.055 0.717 0.836
In: 0.717 0.392 0.836
La: 0.000 0.000 0.000

Summary:
Raw total energy (eV/atom): -4.213

# 3
VASP calculation (PBE) on crystalline DyYTm2Se4 at its relaxed geometry.

abc: 3.995 7.104 6.986
angles: 71.18 90.00 90.00
Element x y z (fractional)
Se: 0.000 0.243 0.253
Se: 0.500 0.756 0.248
Se: 0.500 0.244 0.752
Se: 0.000 0.757 0.747
Y: 0.500 0.500 0.000
Tm: 0.500 0.000 0.500
Tm: 0.000 0.000 0.000
Dy: 0.000 0.500 0.500

Summary:
Raw total energy (eV/atom): -5.950

# 4
VASP calculation (PBE) on crystalline La2Pr2Sb2H at its relaxed geometry.

abc: 4.699 4.699 9.563
angles: 104.22 104.22 90.00
Last column: magnetic moment on the atom in μB.
Element x y z (fractional)
Pr: 0.000 0.500 0.000  0.10
Pr: 0.500 0.000 0.000  0.10
La: 0.822 0.822 0.644  0.03
La: 0.178 0.178 0.356  0.03
Sb: 0.364 0.364 0.727  0.00
Sb: 0.636 0.636 0.273  0.00
H: 0.000 0.000 0.000  0.00

Summary:
Raw total energy (eV/atom): -5.289

# 5
VASP calculation (PBE) on crystalline Hg2Pt3O8 at its relaxed geometry.

abc: 5.386 6.324 6.392
angles: 119.64 104.28 90.00
Element x y z (fractional)
O: 0.624 0.111 0.787
O: 0.061 0.398 0.795
O: 0.376 0.324 0.213
O: 0.624 0.676 0.787
O: 0.892 0.094 0.188
O: 0.939 0.602 0.205
O: 0.108 0.906 0.812
O: 0.376 0.889 0.213
Pt: 0.000 0.749 0.000
Pt: 0.000 0.251 0.000
Pt: 0.500 0.000 0.000
Hg: 0.643 0.713 0.425
Hg: 0.357 0.287 0.575

Summary:
Raw total energy (eV/atom): -4.924

# 6
VASP calculation (PBE) on crystalline AcCdInPd at its relaxed geometry.

abc: 5.229 5.229 5.229
angles: 60.00 60.00 60.00
Element x y z (fractional)
In: 0.500 0.500 0.500
Ac: 0.000 0.000 0.000
Cd: 0.750 0.750 0.750
Pd: 0.250 0.250 0.250

Summary:
Raw total energy (eV/atom): -3.674

# 7
VASP calculation (PBE) on crystalline CsCrCuI6 at its relaxed geometry.

abc: 7.146 8.339 8.024
angles: 100.72 92.80 54.01
Last column: magnetic moment on the atom in μB.
Element x y z (fractional)
I: 0.983 0.581 0.742  0.03
I: 0.591 0.428 0.629  0.02
I: 0.344 0.000 0.706  0.02
I: 0.747 0.924 0.390  0.02
I: 0.414 0.685 0.229  -0.01
I: 0.074 0.348 0.284  0.00
Cu: 0.355 0.262 0.545  0.19
Cs: 0.810 0.113 0.992  0.00
Cr: 0.682 0.659 0.485  3.01

Summary:
Raw total energy (eV/atom): -3.161

# 8
VASP calculation (PBE) on crystalline LaBeAs2 at its relaxed geometry.

abc: 5.657 5.657 5.657
angles: 45.00 45.00 45.00
Element x y z (fractional)
Be: 0.250 0.250 0.250
As: 0.538 0.538 0.538
As: 0.962 0.962 0.962
La: 0.750 0.750 0.750

Summary:
Raw total energy (eV/atom): -4.961

# 9
VASP calculation (PBE) on crystalline CsKCl2 at its relaxed geometry.

abc: 5.728 5.728 5.728
angles: 60.00 60.00 60.00
Element x y z (fractional)
Cl: 0.750 0.750 0.750
Cl: 0.250 0.250 0.250
Cs: 0.500 0.500 0.500
K: 0.000 0.000 0.000

Summary:
Raw total energy (eV/atom): -3.282

# 10
VASP calculation (PBE) on crystalline ErTm2Re at its relaxed geometry.

abc: 3.182 3.182 11.326
angles: 81.93 81.93 60.00
Element x y z (fractional)
Er: 0.500 0.500 0.500
Re: 0.000 0.000 0.000
Tm: 0.080 0.080 0.760
Tm: 0.920 0.920 0.240

Summary:
Raw total energy (eV/atom): -5.742

# 11
VASP calculation (PBE) on crystalline AcPm6Te8 at its relaxed geometry.

abc: 8.938 8.938 8.938
angles: 60.00 60.00 60.00
Element x y z (fractional)
Te: 0.750 0.750 0.750
Te: 0.250 0.250 0.250
Te: 0.264 0.736 0.264
Te: 0.736 0.264 0.736
Te: 0.736 0.736 0.264
Te: 0.264 0.736 0.736
Te: 0.736 0.264 0.264
Te: 0.264 0.264 0.736
Pm: 0.000 0.500 0.000
Pm: 0.500 0.500 0.000
Pm: 0.000 0.000 0.500
Pm: 0.500 0.000 0.500
Pm: 0.000 0.500 0.500
Pm: 0.500 0.000 0.000
Ac: 0.000 0.000 0.000

Summary:
Energy above the lowest structure with this stoichiometry (meV/atom): 0

no.,V (A^3/atom),DOS at the Fermi energy (states/eV per atom)
1,26.6,1.1444
2,33.4,1.5201
3,23.5,0.5655
4,28.3,1.2745
5,14.0,0.0059
6,25.3,0.9558
7,42.1,0.5471
8,20.6,0.6160
9,33.2,0.0000
10,24.5,1.3086
11,33.7,0.4897